# 1
Below is a relaxed structure of TlAgTeOsSe2, with properties calculated at the PBE-GGA level.

## Properties
Space-group type: Cmcm, No. 63
Total magnetization in μB per cell: 0.00

The structure in POSCAR format:
```
TlAgTeOsSe2
1.0
1.864 -7.614 0.000
1.864 7.614 0.000
0.000 0.000 10.572
Se Te Os Ag Tl
4 2 2 2 2
direct
0.611 0.389 0.512
0.389 0.611 0.488
0.611 0.389 0.988
0.389 0.611 0.012
0.042 0.958 0.250
0.958 0.042 0.750
0.000 0.000 0.500
0.000 0.000 0.000
0.365 0.635 0.250
0.635 0.365 0.750
0.286 0.714 0.750
0.714 0.286 0.250
```

# 2
Below is a relaxed structure of TlAgOsSe3, with properties calculated at the PBE-GGA level.

## Properties
Space-group type: Cmcm, No. 63
Total magnetization in μB per cell: 0.01

The structure in POSCAR format:
```
TlAgOsSe3
1.0
-1.001 3.566 -0.812
-6.110 1.455 5.068
6.390 3.331 6.748
Tl Ag Se Os
2 2 6 2
direct
0.682 0.636 0.750
0.318 0.364 0.250
0.324 0.353 0.750
0.676 0.647 0.250
0.040 0.920 0.750
0.397 0.206 0.976
0.397 0.206 0.524
0.603 0.794 0.024
0.603 0.794 0.476
0.960 0.080 0.250
0.000 0.000 0.000
0.000 0.000 0.500
```

# 3
Below is a relaxed structure of TlAg3OsSe4, with properties calculated at the PBE-GGA level.

## Properties
Space-group type: P-43m, No. 215
Total magnetization in μB per cell: 0.00

The structure in POSCAR format:
```
TlAg3OsSe4
1.0
6.382 0.000 0.000
0.000 6.382 0.000
0.000 0.000 6.382
Se Os Tl Ag
4 1 1 3
direct
0.281 0.281 0.281
0.719 0.281 0.719
0.281 0.719 0.719
0.719 0.719 0.281
0.500 0.500 0.500
0.000 0.000 0.000
0.500 0.500 0.000
0.000 0.500 0.500
0.500 0.000 0.500
```

# 4
Below is a relaxed structure of Si5AgOs3, with properties calculated at the PBE-GGA level.

## Properties
Space-group type: P6/mmm, No. 191
Total magnetization in μB per cell: 0.79

The structure in POSCAR format:
```
Si5AgOs3
1.0
-2.441 3.719 3.033
-2.524 -4.614 -1.153
2.349 -2.534 4.998
Os Si Ag
3 5 1
direct
0.000 0.500 0.500
0.500 0.000 0.500
0.500 0.500 0.500
0.667 0.333 0.190
0.333 0.667 0.190
0.333 0.667 0.810
0.667 0.333 0.810
0.000 0.000 0.500
0.000 0.000 0.000
```

# 5
Below is a relaxed structure of SiAgOs, with properties calculated at the PBE-GGA level.

## Properties
Space-group type: F-43m, No. 216
Total magnetization in μB per cell: 0.01

The structure in POSCAR format:
```
SiAgOs
1.0
0.000 2.884 2.884
2.884 0.000 2.884
2.884 2.884 0.000
Os Ag Si
1 1 1
direct
0.750 0.750 0.750
0.250 0.250 0.250
0.000 0.000 0.000
```

# 6
Below is a relaxed structure of SrSi2AgOs, with properties calculated at the PBE-GGA level.

## Properties
Space-group type: I-4m2, No. 119
Total magnetization in μB per cell: 0.00

The structure in POSCAR format:
```
SrSi2AgOs
1.0
-2.131 2.131 5.192
2.131 -2.131 5.192
2.131 2.131 -5.192
Sr Si Os Ag
1 2 1 1
direct
0.750 0.250 0.500
0.375 0.875 0.500
0.125 0.625 0.500
0.500 0.500 0.000
0.000 0.000 0.000
```

# 7
Below is a relaxed structure of TbSi2AgOs, with properties calculated at the PBE-GGA level.

## Properties
Space-group type: I-4m2, No. 119
Total magnetization in μB per cell: 0.01

The structure in POSCAR format:
```
TbSi2AgOs
1.0
2.395 -4.659 2.672
3.424 0.703 4.729
-5.251 1.765 -1.974
Tb Ag Si Os
1 1 2 1
direct
0.250 0.750 0.500
0.000 0.000 0.000
0.635 0.135 0.500
0.865 0.365 0.500
0.500 0.500 0.000
```

# 8
Below is a relaxed structure of YSi2AgOs, with properties calculated at the PBE-GGA level.

## Properties
Space-group type: I-4m2, No. 119
Total magnetization in μB per cell: 0.01

The structure in POSCAR format:
```
YSi2AgOs
1.0
-2.060 2.060 5.105
2.060 -2.060 5.105
2.060 2.060 -5.105
Os Ag Si Y
1 1 2 1
direct
0.000 0.000 0.000
0.500 0.500 0.000
0.865 0.365 0.500
0.635 0.135 0.500
0.250 0.750 0.500
```

# 9
Below is a relaxed structure of AgSnOs2, with properties calculated at the PBE-GGA level.

## Properties
Space-group type: F-43m, No. 216
Total magnetization in μB per cell: 0.42

The structure in POSCAR format:
```
AgSnOs2
1.0
4.334 -1.039 -0.918
1.198 -4.330 -0.724
1.176 -1.367 -4.177
Os Sn Ag
2 1 1
direct
0.000 0.000 0.000
0.750 0.750 0.750
0.500 0.500 0.500
0.250 0.250 0.250
```

# 10
Below is a relaxed structure of Ag2SnOs, with properties calculated at the PBE-GGA level.

## Properties
Space-group type: F-43m, No. 216
Total magnetization in μB per cell: 0.00

The structure in POSCAR format:
```
Ag2SnOs
1.0
-0.827 2.096 4.032
-3.914 -0.869 2.294
0.116 -2.425 3.930
Ag Os Sn
2 1 1
direct
0.750 0.750 0.750
0.000 0.000 0.000
0.250 0.250 0.250
0.500 0.500 0.500
```

# 11
Below is a relaxed structure of SrAgOs2, with properties calculated at the PBE-GGA level.

## Properties
Space-group type: F-43m, No. 216
Total magnetization in μB per cell: 0.48

The structure in POSCAR format:
```
SrAgOs2
1.0
0.064 -1.225 4.555
-1.575 3.010 3.274
-4.045 -0.880 2.263
Sr Os Ag
1 2 1
direct
0.000 0.000 0.000
0.250 0.250 0.250
0.500 0.500 0.500
0.750 0.750 0.750
```

# 12
Below is a relaxed structure of TaAgOs2, with properties calculated at the PBE-GGA level.

## Properties
Space-group type: F-43m, No. 216
Total magnetization in μB per cell: 0.42
Calculated formation energy in eV/f.u.: 2.2

The structure in POSCAR format:
```
TaAgOs2
1.0
-4.311 0.845 0.932
-1.746 4.034 -0.916
-2.971 0.456 -3.337
Ag Os Ta
1 2 1
direct
0.500 0.500 0.500
0.000 0.000 0.000
0.250 0.250 0.250
0.750 0.750 0.750
```

# 13
Below is a relaxed structure of Ta2AgOs, with properties calculated at the PBE-GGA level.

## Properties
Space-group type: F-43m, No. 216
Total magnetization in μB per cell: 0.65
Calculated formation energy in eV/f.u.: 1.3

The structure in POSCAR format:
```
Ta2AgOs
1.0
-2.282 -3.246 -2.249
-3.353 -2.287 2.080
-4.337 0.696 -1.227
Ta Os Ag
2 1 1
direct
0.750 0.750 0.750
0.000 0.000 0.000
0.500 0.500 0.500
0.250 0.250 0.250
```

# 14
Below is a relaxed structure of TcAgOs, with properties calculated at the PBE-GGA level.

## Properties
Energy relative to the lowest polymorph listed for this composition in eV/atom: 0.0000
Space-group type: F-43m, No. 216
Total magnetization in μB per cell: 0.02
Calculated formation energy in eV/f.u.: 2.9

The structure in POSCAR format:
```
TcAgOs
1.0
0.000 3.006 3.006
3.006 0.000 3.006
3.006 3.006 0.000
Tc Ag Os
1 1 1
direct
0.750 0.750 0.750
0.250 0.250 0.250
0.000 0.000 0.000
```

# 15
Below is a relaxed structure of AgTe5Os3, with properties calculated at the PBE-GGA level.

## Properties
Space-group type: P6/mmm, No. 191
Total magnetization in μB per cell: 0.00

The structure in POSCAR format:
```
AgTe5Os3
1.0
5.913 0.000 0.000
-2.956 5.120 0.000
0.000 0.000 7.744
Os Te Ag
3 5 1
direct
0.500 0.500 0.500
0.000 0.500 0.500
0.500 0.000 0.500
0.667 0.333 0.762
0.333 0.667 0.762
0.333 0.667 0.238
0.000 0.000 0.500
0.667 0.333 0.238
0.000 0.000 0.000
```

# 16
Below is a relaxed structure of TlAg3Te4Os, with properties calculated at the PBE-GGA level.

## Properties
Space-group type: P-43m, No. 215
Total magnetization in μB per cell: 0.09

The structure in POSCAR format:
```
TlAg3Te4Os
1.0
-3.921 -2.540 -4.782
-3.703 -3.050 4.656
-3.951 5.380 0.382
Te Ag Tl Os
4 3 1 1
direct
0.723 0.723 0.277
0.723 0.277 0.723
0.277 0.723 0.723
0.277 0.277 0.277
0.500 0.000 0.500
0.500 0.500 0.000
0.000 0.500 0.500
0.000 0.000 0.000
0.500 0.500 0.500
```

# 17
Below is a relaxed structure of TlAgTe3Os, with properties calculated at the PBE-GGA level.

## Properties
Space-group type: Cmcm, No. 63
Total magnetization in μB per cell: 0.06

The structure in POSCAR format:
```
TlAgTe3Os
1.0
7.481 -2.002 0.000
7.481 2.002 0.000
0.000 0.000 10.735
Os Te Ag Tl
2 6 2 2
direct
0.000 0.000 0.500
0.000 0.000 0.000
0.379 0.379 0.009
0.379 0.379 0.491
0.621 0.621 0.509
0.621 0.621 0.991
0.066 0.066 0.250
0.934 0.934 0.750
0.433 0.433 0.250
0.567 0.567 0.750
0.764 0.764 0.250
0.236 0.236 0.750
```

# 18
Below is a relaxed structure of TlAgOs, with properties calculated at the PBE-GGA level.

## Properties
Space-group type: F-43m, No. 216
Total magnetization in μB per cell: 0.27

The structure in POSCAR format:
```
TlAgOs
1.0
3.292 -1.034 2.881
-0.298 -3.714 2.514
2.698 -3.498 -0.831
Ag Tl Os
1 1 1
direct
0.250 0.250 0.250
0.000 0.000 0.000
0.750 0.750 0.750
```

# 19
Below is a relaxed structure of Tm2AgOs, with properties calculated at the PBE-GGA level.

## Properties
Space-group type: P4/mmm, No. 123
Total magnetization in μB per cell: 0.00
Calculated formation energy in eV/f.u.: -1.6

The structure in POSCAR format:
```
Tm2AgOs
1.0
-2.964 -1.304 0.912
1.210 -3.099 -0.499
2.293 -0.247 7.095
Os Tm Ag
1 2 1
direct
0.000 0.000 0.000
0.500 0.500 0.220
0.500 0.500 0.780
0.000 0.000 0.500
```

# 20
Below is a relaxed structure of YAgOs2, with properties calculated at the PBE-GGA level.

## Properties
Space-group type: F-43m, No. 216
Total magnetization in μB per cell: 0.00
Calculated formation energy in eV/f.u.: 1.8

The structure in POSCAR format:
```
YAgOs2
1.0
0.000 3.286 3.286
3.286 0.000 3.286
3.286 3.286 0.000
Y Os Ag
1 2 1
direct
0.750 0.750 0.750
0.250 0.250 0.250
0.000 0.000 0.000
0.500 0.500 0.500
```

# 21
Below is a relaxed structure of Zr2AgOs, with properties calculated at the PBE-GGA level.

## Properties
Space-group type: F-43m, No. 216
Total magnetization in μB per cell: 0.00
Calculated formation energy in eV/f.u.: 0.3

The structure in POSCAR format:
```
Zr2AgOs
1.0
-2.883 0.378 3.679
0.210 3.782 2.764
-3.479 3.144 -0.060
Zr Os Ag
2 1 1
direct
0.000 0.000 0.000
0.250 0.250 0.250
0.750 0.750 0.750
0.500 0.500 0.500
```

# 22
Below is a relaxed structure of ZrAgOs2, with properties calculated at the PBE-GGA level.

## Properties
Space-group type: F-43m, No. 216
Total magnetization in μB per cell: 0.00
Calculated formation energy in eV/f.u.: 1.5

The structure in POSCAR format:
```
ZrAgOs2
1.0
1.994 -1.044 3.971
-1.291 -3.731 2.290
2.800 -3.594 0.272
Os Ag Zr
2 1 1
direct
0.000 0.000 0.000
0.250 0.250 0.250
0.500 0.500 0.500
0.750 0.750 0.750
```

# 23
Below is a relaxed structure of AgP15, with properties calculated at the PBE-GGA level.

## Properties
Space-group type: P-1, No. 2

The structure in POSCAR format:
```
AgP15
1.0
-1.096 6.337 -3.181
-7.972 -4.403 0.107
0.449 3.890 10.705
P Ag
30 2
direct
0.960 0.999 0.656
0.013 0.816 0.898
0.315 0.507 0.104
0.620 0.657 0.649
0.147 0.447 0.382
0.685 0.493 0.896
0.737 0.684 0.340
0.334 0.171 0.925
0.263 0.316 0.660
0.987 0.184 0.102
0.040 0.001 0.344
0.901 0.777 0.204
0.550 0.452 0.220
0.542 0.835 0.350
0.768 0.079 0.352
0.700 0.078 0.154
0.789 0.885 0.782
0.606 0.234 0.845
0.394 0.766 0.155
0.211 0.115 0.218
0.458 0.165 0.650
0.666 0.829 0.075
0.232 0.921 0.648
0.951 0.563 0.808
0.300 0.922 0.846
0.450 0.548 0.780
0.049 0.437 0.192
0.099 0.223 0.796
0.380 0.343 0.351
0.853 0.553 0.618
0.656 0.278 0.493
0.344 0.722 0.507
```

# 24
Below is a relaxed structure of AgP, with properties calculated at the PBE-GGA level.

## Properties
Energy relative to the lowest polymorph listed for this composition in eV/atom: 0.2778
Space-group type: Fm-3m, No. 225

The structure in POSCAR format:
```
AgP
1.0
0.000 2.625 2.625
2.625 0.000 2.625
2.625 2.625 0.000
Ag P
1 1
direct
0.000 0.000 0.000
0.500 0.500 0.500
```

# 25
Below is a relaxed structure of AgP, with properties calculated at the PBE-GGA level.

## Properties
Energy relative to the lowest polymorph listed for this composition in eV/atom: 0.2579
Space-group type: P6_3/mmc, No. 194

The structure in POSCAR format:
```
AgP
1.0
3.912 0.000 0.000
-1.956 3.388 0.000
0.000 0.000 5.570
Ag P
2 2
direct
0.000 0.000 0.000
0.000 0.000 0.500
0.333 0.667 0.750
0.667 0.333 0.250
```

# 26
Below is a relaxed structure of Ag8P, with properties calculated at the PBE-GGA level.

## Properties
Space-group type: P6/mmm, No. 191

The structure in POSCAR format:
```
Ag8P
1.0
-0.519 -3.700 -8.672
6.971 -2.578 5.824
-1.559 -2.040 0.964
Ag P
8 1
direct
0.666 0.833 0.000
0.667 0.333 0.000
0.333 0.667 0.000
0.167 0.833 0.000
0.833 0.666 0.000
0.833 0.167 0.000
0.334 0.167 0.000
0.167 0.334 0.000
0.000 0.000 0.500
```

no.,VASP energy (eV per formula unit)
1,-26.3
2,-26.8
3,-35.3
4,-61.0
5,-18.7
6,-27.7
7,-31.6
8,-33.4
9,-26.2
10,-19.1
11,-23.0
12,-34.9
13,-36.4
14,-21.5
15,-48.2
16,-33.2
17,-25.0
18,-12.3
19,-24.6
20,-29.9
21,-30.8
22,-32.3
23,-83.8
24,-7.3
25,-7.4
26,-23.5